# 1
The following is a DFT calculation (PBE) of a relaxed structure of Mn4FeAg.

Results
* E_tot: -181.89 eV for the cell shown
* total moment: 18.615 μB/cell

Cell and atoms, written as CIF:
```
data_Mn4FeAg
_chemical_formula_sum 'Mn16 Fe4 Ag4'
_cell_length_a 6.6577
_cell_length_b 6.6577
_cell_length_c 6.6577
_cell_angle_alpha 90.00
_cell_angle_beta 90.00
_cell_angle_gamma 90.00
_space_group_name_H-M_alt 'F -4 3 m'
_space_group_IT_number 216
_space_group_name_Hall 'F -4 2 3'
loop_
_atom_site_label
_atom_site_type_symbol
_atom_site_fract_x
_atom_site_fract_y
_atom_site_fract_z
_atom_site_occupancy
Mn1 Mn 0.1250 0.1250 0.1250 1
Fe1 Fe 0.2500 0.2500 0.7500 1
Ag1 Ag 0.0000 0.0000 0.5000 1
```

***

# 2
The following is a DFT calculation (PBE) of a relaxed structure of MnFeAg.

Results
* E_tot: -19.27 eV for the cell shown
* polymorph energy (0 for the lowest one): 74 meV per atom
* total moment: 0.096 μB/cell

Cell and atoms, written as CIF:
```
data_MnFeAg
_chemical_formula_sum 'Mn1 Fe1 Ag1'
_cell_length_a 2.6582
_cell_length_b 2.6582
_cell_length_c 6.6868
_cell_angle_alpha 90.00
_cell_angle_beta 90.00
_cell_angle_gamma 120.00
_space_group_name_H-M_alt 'P 3 m 1'
_space_group_IT_number 156
loop_
_space_group_symop_operation_xyz
'x,y,z'
'-y,x-y,z'
'-x+y,-x,z'
'-y,-x,z'
'-x+y,y,z'
'x,x-y,z'
loop_
_atom_site_label
_atom_site_type_symbol
_atom_site_fract_x
_atom_site_fract_y
_atom_site_fract_z
_atom_site_occupancy
Mn1 Mn 0.0000 0.0000 0.0000 1
Fe1 Fe 0.3333 0.6667 0.7163 1
Ag1 Ag 0.6667 0.3333 0.3595 1
```

***

# 3
The following is a DFT calculation (PBE) of a relaxed structure of Mn2FeAgN.

Results
* E_tot: -38.14 eV for the cell shown
* formation energy without anion corrections: -0.16 eV/f.u.
* total moment: 8.957 μB/cell

Cell and atoms, written as CIF:
```
data_Mn2FeAgN
_chemical_formula_sum 'Mn2 Fe1 Ag1 N1'
_cell_length_a 4.0356
_cell_length_b 4.0356
_cell_length_c 3.8202
_cell_angle_alpha 90.00
_cell_angle_beta 90.00
_cell_angle_gamma 90.00
_space_group_name_H-M_alt 'P 4/m m m'
_space_group_IT_number 123
_space_group_name_Hall '-P 4 2'
loop_
_atom_site_label
_atom_site_type_symbol
_atom_site_fract_x
_atom_site_fract_y
_atom_site_fract_z
_atom_site_occupancy
Mn1 Mn 0.0000 0.5000 0.0000 1
Fe1 Fe 0.0000 0.0000 0.5000 1
Ag1 Ag 0.5000 0.5000 0.5000 1
N1 N 0.0000 0.0000 0.0000 1
```

***

# 4
The following is a DFT calculation (PBE) of a relaxed structure of MnFe2AgN.

Results
* E_tot: -37.26 eV for the cell shown
* formation energy without anion corrections: 0.01 eV/f.u.
* total moment: 8.267 μB/cell

Cell and atoms, written as CIF:
```
data_MnFe2AgN
_chemical_formula_sum 'Mn1 Fe2 Ag1 N1'
_cell_length_a 3.8702
_cell_length_b 3.8702
_cell_length_c 4.0474
_cell_angle_alpha 90.00
_cell_angle_beta 90.00
_cell_angle_gamma 90.00
_space_group_name_H-M_alt 'P 4/m m m'
_space_group_IT_number 123
_space_group_name_Hall '-P 4 2'
loop_
_atom_site_label
_atom_site_type_symbol
_atom_site_fract_x
_atom_site_fract_y
_atom_site_fract_z
_atom_site_occupancy
Mn1 Mn 0.0000 0.0000 0.0000 1
Fe1 Fe 0.0000 0.5000 0.5000 1
Ag1 Ag 0.5000 0.5000 0.0000 1
N1 N 0.0000 0.0000 0.5000 1
```

***

# 5
The following is a DFT calculation (PBE) of a relaxed structure of MnFeAg2Pt.

Results
* E_tot: -23.53 eV for the cell shown
* total moment: 8.027 μB/cell

Cell and atoms, written as CIF:
```
data_MnFeAg2Pt
_chemical_formula_sum 'Mn1 Fe1 Ag2 Pt1'
_cell_length_a 5.0867
_cell_length_b 5.0867
_cell_length_c 4.7402
_cell_angle_alpha 90.00
_cell_angle_beta 90.00
_cell_angle_gamma 90.00
_space_group_name_H-M_alt 'P 4/m m m'
_space_group_IT_number 123
_space_group_name_Hall '-P 4 2'
loop_
_atom_site_label
_atom_site_type_symbol
_atom_site_fract_x
_atom_site_fract_y
_atom_site_fract_z
_atom_site_occupancy
Mn1 Mn 0.0000 0.0000 0.0000 1
Fe1 Fe 0.5000 0.5000 0.0000 1
Ag1 Ag 0.0000 0.5000 0.5000 1
Pt1 Pt 0.0000 0.0000 0.5000 1
```

***

# 6
The following is a DFT calculation (PBE) of a relaxed structure of Mn2FeAgPt.

Results
* E_tot: -28.16 eV for the cell shown
* total moment: 12.118 μB/cell

Cell and atoms, written as CIF:
```
data_Mn2FeAgPt
_chemical_formula_sum 'Mn2 Fe1 Ag1 Pt1'
_cell_length_a 4.7517
_cell_length_b 4.7517
_cell_length_c 4.9521
_cell_angle_alpha 90.00
_cell_angle_beta 90.00
_cell_angle_gamma 90.00
_space_group_name_H-M_alt 'P 4/m m m'
_space_group_IT_number 123
_space_group_name_Hall '-P 4 2'
loop_
_atom_site_label
_atom_site_type_symbol
_atom_site_fract_x
_atom_site_fract_y
_atom_site_fract_z
_atom_site_occupancy
Mn1 Mn 0.0000 0.5000 0.0000 1
Fe1 Fe 0.0000 0.0000 0.5000 1
Ag1 Ag 0.5000 0.5000 0.0000 1
Pt1 Pt 0.5000 0.5000 0.5000 1
```

***

# 7
The following is a DFT calculation (PBE) of a relaxed structure of RbMnFeAg2.

Results
* E_tot: -20.52 eV for the cell shown
* total moment: 1.917 μB/cell

Cell and atoms, written as CIF:
```
data_RbMnFeAg2
_chemical_formula_sum 'Rb1 Mn1 Fe1 Ag2'
_cell_length_a 5.2081
_cell_length_b 5.2081
_cell_length_c 4.5440
_cell_angle_alpha 90.00
_cell_angle_beta 90.00
_cell_angle_gamma 90.00
_space_group_name_H-M_alt 'P 4/m m m'
_space_group_IT_number 123
_space_group_name_Hall '-P 4 2'
loop_
_atom_site_label
_atom_site_type_symbol
_atom_site_fract_x
_atom_site_fract_y
_atom_site_fract_z
_atom_site_occupancy
Rb1 Rb 0.0000 0.0000 0.0000 1
Mn1 Mn 0.5000 0.5000 0.0000 1
Fe1 Fe 0.5000 0.5000 0.5000 1
Ag1 Ag 0.0000 0.5000 0.5000 1
```

***

# 8
The following is a DFT calculation (PBE) of a relaxed structure of MnTlFe2Ag.

Results
* E_tot: -25.76 eV for the cell shown
* total moment: 3.974 μB/cell

Cell and atoms, written as CIF:
```
data_MnTlFe2Ag
_chemical_formula_sum 'Mn1 Tl1 Fe2 Ag1'
_cell_length_a 4.3197
_cell_length_b 4.3197
_cell_length_c 5.0217
_cell_angle_alpha 90.00
_cell_angle_beta 90.00
_cell_angle_gamma 90.00
_space_group_name_H-M_alt 'P 4/m m m'
_space_group_IT_number 123
_space_group_name_Hall '-P 4 2'
loop_
_atom_site_label
_atom_site_type_symbol
_atom_site_fract_x
_atom_site_fract_y
_atom_site_fract_z
_atom_site_occupancy
Mn1 Mn 0.0000 0.0000 0.0000 1
Tl1 Tl 0.0000 0.0000 0.5000 1
Fe1 Fe 0.0000 0.5000 0.0000 1
Ag1 Ag 0.5000 0.5000 0.5000 1
```

***

- E_tot of number 6 (Mn2FeAgPt)?
  -28.16 eV for the cell shown

***

What did the fifth record say?
The following is a DFT calculation (PBE) of a relaxed structure of MnFeAg2Pt.

Results
* E_tot: -23.53 eV for the cell shown
* total moment: 8.027 μB/cell

Cell and atoms, written as CIF:
```
data_MnFeAg2Pt
_chemical_formula_sum 'Mn1 Fe1 Ag2 Pt1'
_cell_length_a 5.0867
_cell_length_b 5.0867
_cell_length_c 4.7402
_cell_angle_alpha 90.00
_cell_angle_beta 90.00
_cell_angle_gamma 90.00
_space_group_name_H-M_alt 'P 4/m m m'
_space_group_IT_number 123
_space_group_name_Hall '-P 4 2'
loop_
_atom_site_label
_atom_site_type_symbol
_atom_site_fract_x
_atom_site_fract_y
_atom_site_fract_z
_atom_site_occupancy
Mn1 Mn 0.0000 0.0000 0.0000 1
Fe1 Fe 0.5000 0.5000 0.0000 1
Ag1 Ag 0.0000 0.5000 0.5000 1
Pt1 Pt 0.0000 0.0000 0.5000 1
```

***

What did the second record say?
The following is a DFT calculation (PBE) of a relaxed structure of MnFeAg.

Results
* E_tot: -19.27 eV for the cell shown
* polymorph energy (0 for the lowest one): 74 meV per atom
* total moment: 0.096 μB/cell

Cell and atoms, written as CIF:
```
data_MnFeAg
_chemical_formula_sum 'Mn1 Fe1 Ag1'
_cell_length_a 2.6582
_cell_length_b 2.6582
_cell_length_c 6.6868
_cell_angle_alpha 90.00
_cell_angle_beta 90.00
_cell_angle_gamma 120.00
_space_group_name_H-M_alt 'P 3 m 1'
_space_group_IT_number 156
loop_
_space_group_symop_operation_xyz
'x,y,z'
'-y,x-y,z'
'-x+y,-x,z'
'-y,-x,z'
'-x+y,y,z'
'x,x-y,z'
loop_
_atom_site_label
_atom_site_type_symbol
_atom_site_fract_x
_atom_site_fract_y
_atom_site_fract_z
_atom_site_occupancy
Mn1 Mn 0.0000 0.0000 0.0000 1
Fe1 Fe 0.3333 0.6667 0.7163 1
Ag1 Ag 0.6667 0.3333 0.3595 1
```